# 1
Entry from OQMD: a geometry-optimized BaSrTlAu structure (PBE-GGA).

Geometry as CIF:
```
data_BaSrTlAu
_chemical_formula_sum 'Ba4 Sr4 Tl4 Au4'
_cell_length_a 8.0886
_cell_length_b 8.0886
_cell_length_c 8.0886
_cell_angle_alpha 90.00
_cell_angle_beta 90.00
_cell_angle_gamma 90.00
_space_group_name_H-M_alt 'F -4 3 m'
_space_group_IT_number 216
_space_group_name_Hall 'F -4 2 3'
loop_
_atom_site_label
_atom_site_type_symbol
_atom_site_fract_x
_atom_site_fract_y
_atom_site_fract_z
Ba1 Ba 0.0000 0.0000 0.0000
Sr1 Sr 0.0000 0.0000 0.5000
Tl1 Tl 0.2500 0.2500 0.2500
Au1 Au 0.2500 0.2500 0.7500
```

- excess energy over the best structure of this formula in the dataset (meV per atom) = 0
- crystal system = cubic

# 2
Entry from OQMD: a geometry-optimized Li2Tm2O5 structure (PBE-GGA).

Geometry as CIF:
```
data_Li2Tm2O5
_chemical_formula_sum 'Li2 Tm2 O5'
_cell_length_a 3.6198
_cell_length_b 3.6198
_cell_length_c 6.8382
_cell_angle_alpha 90.00
_cell_angle_beta 90.00
_cell_angle_gamma 90.00
_space_group_name_H-M_alt 'P 4/m m m'
_space_group_IT_number 123
_space_group_name_Hall '-P 4 2'
loop_
_atom_site_label
_atom_site_type_symbol
_atom_site_fract_x
_atom_site_fract_y
_atom_site_fract_z
Li1 Li 0.0000 0.0000 0.2416
Tm1 Tm 0.5000 0.5000 0.0000
Tm2 Tm 0.5000 0.5000 0.5000
O1 O 0.0000 0.0000 0.5000
O2 O 0.0000 0.5000 0.2076
```

- excess energy over the best structure of this formula in the dataset (meV per atom) = 0
- total moment (μB per formula unit) = 2.00
- crystal system = tetragonal

# 3
Entry from OQMD: a geometry-optimized PrNiSnAsPd structure (PBE-GGA).

Geometry as CIF:
```
data_PrNiSnAsPd
_chemical_formula_sum 'Pr2 Ni2 Sn2 As2 Pd2'
_cell_length_a 4.3534
_cell_length_b 4.3534
_cell_length_c 10.3260
_cell_angle_alpha 90.00
_cell_angle_beta 90.00
_cell_angle_gamma 90.00
_space_group_name_H-M_alt 'P 4/n m m'
_space_group_IT_number 129
loop_
_space_group_symop_operation_xyz
'x,y,z'
'-x,-y,-z'
'-y+1/2,x,z'
'y+1/2,-x,-z'
'-x+1/2,-y+1/2,z'
'x+1/2,y+1/2,-z'
'y,-x+1/2,z'
'-y,x+1/2,-z'
'x+1/2,-y,-z'
'-x+1/2,y,z'
'-y,-x,-z'
'y,x,z'
'-x,y+1/2,-z'
'x,-y+1/2,z'
'y+1/2,x+1/2,-z'
'-y+1/2,-x+1/2,z'
loop_
_atom_site_label
_atom_site_type_symbol
_atom_site_fract_x
_atom_site_fract_y
_atom_site_fract_z
Pr1 Pr 0.2500 0.2500 0.2358
Ni1 Ni 0.2500 0.2500 0.6373
Sn1 Sn 0.2500 0.7500 0.5000
As1 As 0.2500 0.2500 0.8606
Pd1 Pd 0.2500 0.7500 0.0000
```

- excess energy over the best structure of this formula in the dataset (meV per atom) = 19
- total moment (μB per formula unit) = 0.01
- crystal system = tetragonal

# 4
Entry from OQMD: a geometry-optimized SmErPt structure (PBE-GGA).

Geometry as CIF:
```
data_SmErPt
_chemical_formula_sum 'Sm4 Er4 Pt4'
_cell_length_a 6.7700
_cell_length_b 6.7700
_cell_length_c 6.7700
_cell_angle_alpha 90.00
_cell_angle_beta 90.00
_cell_angle_gamma 90.00
_space_group_name_H-M_alt 'F -4 3 m'
_space_group_IT_number 216
_space_group_name_Hall 'F -4 2 3'
loop_
_atom_site_label
_atom_site_type_symbol
_atom_site_fract_x
_atom_site_fract_y
_atom_site_fract_z
Sm1 Sm 0.0000 0.0000 0.0000
Er1 Er 0.2500 0.2500 0.7500
Pt1 Pt 0.2500 0.2500 0.2500
```

- excess energy over the best structure of this formula in the dataset (meV per atom) = 888
- formation enthalpy at 0 K (eV per atom) = -0.046
- total moment (μB per formula unit) = 0.00
- crystal system = cubic

# 5
Entry from OQMD: a geometry-optimized Pd4Au5 structure (PBE-GGA).

Geometry as CIF:
```
data_Pd4Au5
_chemical_formula_sum 'Pd8 Au10'
_cell_length_a 8.6818
_cell_length_b 8.6818
_cell_length_c 4.0017
_cell_angle_alpha 90.00
_cell_angle_beta 90.00
_cell_angle_gamma 90.00
_space_group_name_H-M_alt 'I 4/m m m'
_space_group_IT_number 139
_space_group_name_Hall '-I 4 2'
loop_
_atom_site_label
_atom_site_type_symbol
_atom_site_fract_x
_atom_site_fract_y
_atom_site_fract_z
Pd1 Pd 0.1668 0.1668 0.0000
Au1 Au 0.0000 0.0000 0.5000
Au2 Au 0.0000 0.3296 0.5000
```

- formation enthalpy at 0 K (eV per atom) = -0.088
- crystal system = tetragonal

# 6
Entry from OQMD: a geometry-optimized BeSbAsW structure (PBE-GGA).

Geometry as CIF:
```
data_BeSbAsW
_chemical_formula_sum 'Be4 Sb4 As4 W4'
_cell_length_a 6.5223
_cell_length_b 6.5223
_cell_length_c 6.5223
_cell_angle_alpha 90.00
_cell_angle_beta 90.00
_cell_angle_gamma 90.00
_space_group_name_H-M_alt 'F -4 3 m'
_space_group_IT_number 216
_space_group_name_Hall 'F -4 2 3'
loop_
_atom_site_label
_atom_site_type_symbol
_atom_site_fract_x
_atom_site_fract_y
_atom_site_fract_z
Be1 Be 0.0000 0.0000 0.0000
Sb1 Sb 0.0000 0.0000 0.5000
As1 As 0.2500 0.2500 0.7500
W1 W 0.2500 0.2500 0.2500
```

- excess energy over the best structure of this formula in the dataset (meV per atom) = 257
- total moment (μB per formula unit) = 0.00
- crystal system = cubic

Which formula does entry 4 have? SmErPt

What did the fourth record say?
Entry from OQMD: a geometry-optimized SmErPt structure (PBE-GGA).

Geometry as CIF:
```
data_SmErPt
_chemical_formula_sum 'Sm4 Er4 Pt4'
_cell_length_a 6.7700
_cell_length_b 6.7700
_cell_length_c 6.7700
_cell_angle_alpha 90.00
_cell_angle_beta 90.00
_cell_angle_gamma 90.00
_space_group_name_H-M_alt 'F -4 3 m'
_space_group_IT_number 216
_space_group_name_Hall 'F -4 2 3'
loop_
_atom_site_label
_atom_site_type_symbol
_atom_site_fract_x
_atom_site_fract_y
_atom_site_fract_z
Sm1 Sm 0.0000 0.0000 0.0000
Er1 Er 0.2500 0.2500 0.7500
Pt1 Pt 0.2500 0.2500 0.2500
```

- excess energy over the best structure of this formula in the dataset (meV per atom) = 888
- formation enthalpy at 0 K (eV per atom) = -0.046
- total moment (μB per formula unit) = 0.00
- crystal system = cubic